Record 1
MnFe2AsPb: optimized geometry, GGA-PBE.

Output
The density of states at the Fermi level is 7.4 states/eV per cell. The crystal system is tetragonal. For the calculated total energy, the calculation gives -5.765 eV per atom. The value obtained for the formation energy is 1.13 eV/atom.

```
data_MnFe2AsPb
_chemical_formula_sum 'Mn1 Fe2 As1 Pb1'
_cell_length_a 4.344
_cell_length_b 4.344
_cell_length_c 4.980
_cell_angle_alpha 90.00
_cell_angle_beta 90.00
_cell_angle_gamma 90.00
_space_group_name_H-M_alt 'P 4/m m m'
_space_group_IT_number 123
_space_group_name_Hall '-P 4 2'
loop_
_atom_site_label
_atom_site_type_symbol
_atom_site_fract_x
_atom_site_fract_y
_atom_site_fract_z
_atom_site_occupancy
Mn1 Mn 0.000 0.000 0.000 1
Fe1 Fe 0.000 0.500 0.000 1
As1 As 0.500 0.500 0.500 1
Pb1 Pb 0.000 0.000 0.500 1
```



Record 2
MnFeAs2Pb: optimized geometry, GGA-PBE.

Output
The density of states at the Fermi level is 13.0 states/eV per cell. The crystal system is tetragonal. For the calculated total energy, the calculation gives -5.131 eV per atom. The value obtained for the formation energy is 1.00 eV/atom.

```
data_MnFeAs2Pb
_chemical_formula_sum 'Mn1 Fe1 As2 Pb1'
_cell_length_a 4.424
_cell_length_b 4.424
_cell_length_c 5.415
_cell_angle_alpha 90.00
_cell_angle_beta 90.00
_cell_angle_gamma 90.00
_space_group_name_H-M_alt 'P 4/m m m'
_space_group_IT_number 123
_space_group_name_Hall '-P 4 2'
loop_
_atom_site_label
_atom_site_type_symbol
_atom_site_fract_x
_atom_site_fract_y
_atom_site_fract_z
_atom_site_occupancy
Mn1 Mn 0.000 0.000 0.000 1
Fe1 Fe 0.500 0.500 0.500 1
As1 As 0.000 0.500 0.500 1
Pb1 Pb 0.500 0.500 0.000 1
```



Record 3
MnFeAs2Pd: optimized geometry, GGA-PBE.

Output
The density of states at the Fermi level is 7.3 states/eV per cell. The crystal system is tetragonal. For the calculated total energy, the calculation gives -5.420 eV per atom. The value obtained for the formation energy is 1.00 eV/atom.

```
data_MnFeAs2Pd
_chemical_formula_sum 'Mn1 Fe1 As2 Pd1'
_cell_length_a 4.425
_cell_length_b 4.425
_cell_length_c 4.714
_cell_angle_alpha 90.00
_cell_angle_beta 90.00
_cell_angle_gamma 90.00
_space_group_name_H-M_alt 'P 4/m m m'
_space_group_IT_number 123
_space_group_name_Hall '-P 4 2'
loop_
_atom_site_label
_atom_site_type_symbol
_atom_site_fract_x
_atom_site_fract_y
_atom_site_fract_z
_atom_site_occupancy
Mn1 Mn 0.000 0.000 0.000 1
Fe1 Fe 0.500 0.500 0.500 1
As1 As 0.000 0.500 0.500 1
Pd1 Pd 0.500 0.500 0.000 1
```



Record 4
Mn2FeAsRh: optimized geometry, GGA-PBE.

Output
The density of states at the Fermi level is 8.8 states/eV per cell. The crystal system is tetragonal. For the calculated total energy, the calculation gives -6.804 eV per atom. The value obtained for the formation energy is 0.96 eV/atom.

```
data_Mn2FeAsRh
_chemical_formula_sum 'Mn2 Fe1 As1 Rh1'
_cell_length_a 4.827
_cell_length_b 4.827
_cell_length_c 4.523
_cell_angle_alpha 90.00
_cell_angle_beta 90.00
_cell_angle_gamma 90.00
_space_group_name_H-M_alt 'P 4/m m m'
_space_group_IT_number 123
_space_group_name_Hall '-P 4 2'
loop_
_atom_site_label
_atom_site_type_symbol
_atom_site_fract_x
_atom_site_fract_y
_atom_site_fract_z
_atom_site_occupancy
Mn1 Mn 0.000 0.500 0.000 1
Fe1 Fe 0.000 0.000 0.500 1
As1 As 0.500 0.500 0.500 1
Rh1 Rh 0.500 0.500 0.000 1
```